Entry from Alexandria via LeMat-Bulk: a geometry-optimized B2MoO2 structure (PBE+U).

```
10
Lattice="-2.762 6.692 3.858 -2.511 -4.653 6.273 2.250 0.287 1.113" Properties=species:S:1:pos:R:3 pbc="T T T"
Mo 0.000 0.000 0.000
Mo -2.637 1.020 5.066
B -3.506 -1.456 7.460
B -3.999 3.535 7.172
B -1.768 3.496 2.672
B -1.274 -1.495 2.960
O -2.071 -1.433 7.421
O -2.860 3.011 7.870
O -0.953 3.759 3.824
O -0.164 -0.685 3.374
```

## Properties
- E above lowest polymorph (kcal/mol of atoms) = 0.00
- total magnetization (μB per atom) = 0.96